Record 1
A relaxed B2TeBr crystal, computed with PBE-GGA.

a b c (Å): 5.911 5.911 5.911
angles (deg): 117.41 117.41 94.54
Sites, in units of the cell vectors:
B  0.107  0.625  0.982
B  0.375  0.357  0.482
B  0.643  0.125  0.018
B  0.875  0.893  0.518
Te  0.000  0.000  0.000
Te  0.750  0.250  0.500
Br  0.250  0.750  0.500
Br  0.500  0.500  0.000

## Properties
formation energy without anion corrections	1.394	eV per atom
total magnetic moment	0.00	Bohr magnetons per cell
ΔE to the lowest computed polymorph	0.00	eV per formula unit
uncorrected energy	-25.19	eV per cell

***

Record 2
A relaxed CsTcTe2 crystal, computed with PBE-GGA.

a b c (Å): 11.521 11.521 11.521
angles (deg): 17.24 17.24 17.24
Sites, in units of the cell vectors:
Cs  0.000  0.000  0.000
Tc  0.500  0.500  0.500
Te  0.425  0.425  0.425
Te  0.575  0.575  0.575

## Properties
formation energy without anion corrections	0.629	eV per atom
total magnetic moment	0.00	Bohr magnetons per cell
ΔE to the lowest computed polymorph	3.32	eV per formula unit
uncorrected energy	-14.99	eV per cell

***

Record 3
A relaxed CoAuBr2 crystal, computed with PBE-GGA.

a b c (Å): 4.887 4.887 4.887
angles (deg): 60.00 60.00 60.00
Sites, in units of the cell vectors:
Co  0.000  0.000  0.000
Au  0.500  0.500  0.500
Br  0.250  0.250  0.250
Br  0.750  0.750  0.750

## Properties
formation energy without anion corrections	0.607	eV per atom
total magnetic moment	2.10	Bohr magnetons per cell
ΔE to the lowest computed polymorph	2.27	eV per formula unit
uncorrected energy	-11.30	eV per cell

***

Record 4
A relaxed AcZnGa2 crystal, computed with PBE-GGA.

a b c (Å): 6.244 6.244 6.244
angles (deg): 41.03 41.03 41.03
Sites, in units of the cell vectors:
Ac  0.000  0.000  0.000
Zn  0.500  0.500  0.500
Ga  0.213  0.213  0.213
Ga  0.787  0.787  0.787

## Properties
total magnetic moment	0.00	Bohr magnetons per cell
calculated formation energy	-0.437	eV per atom
ΔE to the lowest computed polymorph	0.36	eV per formula unit
uncorrected energy	-13.18	eV per cell

***

Record 5
A relaxed Ac3Rh3Au2 crystal, computed with PBE-GGA.

a b c (Å): 8.825 8.825 5.822
angles (deg): 90.00 90.00 120.00
Sites, in units of the cell vectors:
Ac  0.000  0.297  0.250
Ac  0.000  0.703  0.750
Ac  0.297  0.000  0.250
Ac  0.297  0.297  0.750
Ac  0.703  0.000  0.750
Ac  0.703  0.703  0.250
Rh  0.000  0.378  0.750
Rh  0.000  0.622  0.250
Rh  0.378  0.000  0.750
Rh  0.378  0.378  0.250
Rh  0.622  0.000  0.250
Rh  0.622  0.622  0.750
Au  0.333  0.667  0.000
Au  0.333  0.667  0.500
Au  0.667  0.333  0.000
Au  0.667  0.333  0.500

## Properties
total magnetic moment	0.00	Bohr magnetons per cell
calculated formation energy	-0.512	eV per atom
uncorrected energy	-90.06	eV per cell

***

Record 6
A relaxed TcAg crystal, computed with PBE-GGA.

a b c (Å): 2.905 2.905 7.886
angles (deg): 90.00 90.00 90.00
Sites, in units of the cell vectors:
Tc  0.250  0.250  0.093
Tc  0.750  0.750  0.907
Ag  0.250  0.250  0.632
Ag  0.750  0.750  0.368

## Properties
total magnetic moment	0.00	Bohr magnetons per cell
calculated formation energy	0.270	eV per atom
ΔE to the lowest computed polymorph	0.20	eV per formula unit
uncorrected energy	-25.35	eV per cell

***

Record 7
A relaxed RbNdP2Pd4 crystal, computed with PBE-GGA.

a b c (Å): 4.172 4.172 10.821
angles (deg): 90.00 90.00 90.00
Sites, in units of the cell vectors:
Rb  0.000  0.000  0.000
Nd  0.000  0.000  0.500
P  0.500  0.500  0.202
P  0.500  0.500  0.798
Pd  0.000  0.500  0.300
Pd  0.000  0.500  0.700
Pd  0.500  0.000  0.300
Pd  0.500  0.000  0.700

## Properties
total magnetic moment	0.00	Bohr magnetons per cell
calculated formation energy	-0.565	eV per atom
uncorrected energy	-41.84	eV per cell

***

Record 8
A relaxed K2TlCdPd crystal, computed with PBE-GGA.

a b c (Å): 6.161 6.161 5.315
angles (deg): 90.00 90.00 90.00
Sites, in units of the cell vectors:
K  0.000  0.500  0.000
K  0.500  0.000  0.000
Tl  0.000  0.000  0.500
Cd  0.500  0.500  0.500
Pd  0.000  0.000  0.000

## Properties
total magnetic moment	0.00	Bohr magnetons per cell
calculated formation energy	0.020	eV per atom
ΔE to the lowest computed polymorph	0.00	eV per formula unit
uncorrected energy	-10.57	eV per cell

***

Record 9
A relaxed Be2TePb2 crystal, computed with PBE-GGA.

a b c (Å): 8.801 8.801 3.211
angles (deg): 90.00 90.00 90.00
Sites, in units of the cell vectors:
Be  0.086  0.414  0.000
Be  0.414  0.914  0.000
Be  0.586  0.086  0.000
Be  0.914  0.586  0.000
Te  0.000  0.000  0.500
Te  0.500  0.500  0.500
Pb  0.212  0.712  0.500
Pb  0.288  0.212  0.500
Pb  0.712  0.788  0.500
Pb  0.788  0.288  0.500

## Properties
formation energy without anion corrections	0.638	eV per atom
total magnetic moment	0.00	Bohr magnetons per cell
ΔE to the lowest computed polymorph	1.39	eV per formula unit
uncorrected energy	-29.64	eV per cell

***

Record 10
A relaxed La2PmPrN4 crystal, computed with PBE-GGA.

a b c (Å): 6.410 3.701 6.421
angles (deg): 90.00 109.43 90.00
Sites, in units of the cell vectors:
La  0.000  0.000  0.000
La  0.500  0.500  0.000
Pm  0.000  0.500  0.500
Pr  0.500  0.000  0.500
N  0.246  0.000  0.745
N  0.249  0.500  0.254
N  0.751  0.500  0.746
N  0.754  0.000  0.255

## Properties
formation energy without anion corrections	-1.334	eV per atom
total magnetic moment	0.00	Bohr magnetons per cell
uncorrected energy	-63.36	eV per cell

***

Record 11
A relaxed CoTcSb2I crystal, computed with PBE-GGA.

a b c (Å): 5.040 5.040 5.815
angles (deg): 90.00 90.00 90.00
Sites, in units of the cell vectors:
Co  0.000  0.000  0.000
Tc  0.500  0.500  0.500
Sb  0.000  0.500  0.500
Sb  0.500  0.000  0.500
I  0.500  0.500  0.000

## Properties
formation energy without anion corrections	1.030	eV per atom
total magnetic moment	2.12	Bohr magnetons per cell
ΔE to the lowest computed polymorph	0.04	eV per formula unit
uncorrected energy	-22.11	eV per cell

***

Record 12
A relaxed Ta3BiIr crystal, computed with PBE-GGA.

a b c (Å): 4.918 4.918 4.918
angles (deg): 90.00 90.00 90.00
Sites, in units of the cell vectors:
Ta  0.000  0.000  0.500
Ta  0.000  0.500  0.000
Ta  0.500  0.000  0.000
Bi  0.500  0.500  0.500
Ir  0.000  0.000  0.000

## Properties
total magnetic moment	0.00	Bohr magnetons per cell
calculated formation energy	0.882	eV per atom
ΔE to the lowest computed polymorph	0.00	eV per formula unit
uncorrected energy	-43.89	eV per cell

***

Record 13
A relaxed PmDyHgPb crystal, computed with PBE-GGA.

a b c (Å): 5.400 5.400 5.400
angles (deg): 60.00 60.00 60.00
Sites, in units of the cell vectors:
Pm  0.000  0.000  0.000
Dy  0.500  0.500  0.500
Hg  0.750  0.750  0.750
Pb  0.250  0.250  0.250

## Properties
total magnetic moment	0.00	Bohr magnetons per cell
calculated formation energy	-0.474	eV per atom
uncorrected energy	-15.26	eV per cell

***

Record 14
A relaxed YSbNO2 crystal, computed with PBE-GGA.

a b c (Å): 4.096 4.096 4.196
angles (deg): 90.00 90.00 90.00
Sites, in units of the cell vectors:
Y  0.000  0.000  0.000
Sb  0.500  0.500  0.500
N  0.500  0.500  0.000
O  0.000  0.500  0.500
O  0.500  0.000  0.500

## Properties
formation energy without anion corrections	-1.090	eV per atom
total magnetic moment	0.00	Bohr magnetons per cell
uncorrected energy	-34.28	eV per cell

***

Record 15
A relaxed Rb2AlP crystal, computed with PBE-GGA.

a b c (Å): 5.762 5.762 5.762
angles (deg): 60.00 60.00 60.00
Sites, in units of the cell vectors:
Rb  0.250  0.250  0.250
Rb  0.750  0.750  0.750
Al  0.000  0.000  0.000
P  0.500  0.500  0.500

## Properties
total magnetic moment	0.00	Bohr magnetons per cell
calculated formation energy	0.400	eV per atom
ΔE to the lowest computed polymorph	0.00	eV per formula unit
uncorrected energy	-9.49	eV per cell

***

Record 16
A relaxed CaMgTcH2 crystal, computed with PBE-GGA.

a b c (Å): 3.350 4.727 5.053
angles (deg): 62.38 89.98 89.97
Sites, in units of the cell vectors:
Ca  0.000  0.000  0.000
Mg  0.503  0.680  0.643
Tc  0.498  0.347  0.307
H  0.500  0.230  0.680
H  0.998  0.175  0.391

## Properties
total magnetic moment	0.60	Bohr magnetons per cell
ΔE to the lowest computed polymorph	0.72	eV per formula unit
uncorrected energy	-20.59	eV per cell

***

Record 17
A relaxed Ce2DyAl9 crystal, computed with PBE-GGA.

a b c (Å): 9.426 9.426 9.426
angles (deg): 34.49 34.49 34.49
Sites, in units of the cell vectors:
Ce  0.144  0.144  0.144
Ce  0.856  0.856  0.856
Dy  0.000  0.000  0.000
Al  0.076  0.586  0.586
Al  0.335  0.335  0.335
Al  0.414  0.414  0.924
Al  0.414  0.924  0.414
Al  0.500  0.500  0.500
Al  0.586  0.076  0.586
Al  0.586  0.586  0.076
Al  0.665  0.665  0.665
Al  0.924  0.414  0.414

## Properties
total magnetic moment	1.63	Bohr magnetons per cell
calculated formation energy	-0.338	eV per atom
uncorrected energy	-54.21	eV per cell

***

Record 18
A relaxed Li3Tl3PbI8 crystal, computed with PBE-GGA.

a b c (Å): 9.057 9.057 9.564
angles (deg): 118.25 118.25 59.96
Sites, in units of the cell vectors:
Li  0.000  0.000  0.000
Li  0.000  0.500  0.000
Li  0.500  0.000  0.000
Tl  0.000  0.500  0.500
Tl  0.500  0.000  0.500
Tl  0.500  0.500  0.500
Pb  0.500  0.500  0.000
I  0.220  0.748  0.215
I  0.235  0.235  0.206
I  0.252  0.252  0.785
I  0.252  0.780  0.785
I  0.748  0.220  0.215
I  0.748  0.748  0.215
I  0.765  0.765  0.794
I  0.780  0.252  0.785

## Properties
formation energy without anion corrections	-0.850	eV per atom
total magnetic moment	0.00	Bohr magnetons per cell
uncorrected energy	-41.70	eV per cell

***

Record 19
A relaxed LiTbPmPd crystal, computed with PBE-GGA.

a b c (Å): 5.106 5.106 5.106
angles (deg): 60.00 60.00 60.00
Sites, in units of the cell vectors:
Li  0.000  0.000  0.000
Tb  0.250  0.250  0.250
Pm  0.750  0.750  0.750
Pd  0.500  0.500  0.500

## Properties
total magnetic moment	0.00	Bohr magnetons per cell
calculated formation energy	-0.361	eV per atom
uncorrected energy	-17.93	eV per cell

***

Record 20
A relaxed Er3TlCd2 crystal, computed with PBE-GGA.

a b c (Å): 3.741 3.741 11.118
angles (deg): 90.00 90.00 90.00
Sites, in units of the cell vectors:
Er  0.000  0.000  0.000
Er  0.000  0.000  0.328
Er  0.000  0.000  0.672
Tl  0.500  0.500  0.500
Cd  0.500  0.500  0.161
Cd  0.500  0.500  0.839

## Properties
total magnetic moment	0.00	Bohr magnetons per cell
calculated formation energy	-0.315	eV per atom
uncorrected energy	-19.77	eV per cell

***

| no. | D(E_F) (states/eV per cell) |
| --- | --- |
| 1 | 4.892 |
| 2 | 3.591 |
| 3 | 3.101 |
| 4 | 1.310 |
| 5 | 9.121 |
| 6 | 2.560 |
| 7 | 4.510 |
| 8 | 2.597 |
| 9 | 4.293 |
| 10 | 0.870 |
| 11 | 8.774 |
| 12 | 5.733 |
| 13 | 4.965 |
| 14 | 1.669 |
| 15 | 0.000 |
| 16 | 2.225 |
| 17 | 12.165 |
| 18 | 0.000 |
| 19 | 3.003 |
| 20 | 6.060 |